Below is a crystal of NbCoAs relaxed with PBEsol, with properties calculated at the SCAN level.

The calculation puts the formation energy at -0.518 eV/atom. The total energy is -24.06 eV per atom. The spin magnetization is 0.001 μB per atom.

It has space group Pnma (No. 62), with a = 6.2381 Å, b = 3.7242 Å, c = 7.0758 Å, α = 90.00°, β = 90.00° and γ = 90.00°. The asymmetric unit holds Nb at (0.0236, 0.2500, 0.1728), Co at (0.1503, 0.2500, 0.5631) and As at (0.2206, 0.7500, 0.3791).